# 1
A plane-wave DFT calculation with PBE-GGA was carried out for a relaxed structure of RbVSi2Te8.

Computed properties:
* M_tot: 0.165 μB/atom
* formation energy without anion corrections: -159 meV/atom
* SG: No. 148
* uncorrected energy: -47.97 eV/cell
* V: 375 Å³/cell
* density: 5.4 g/cm3

a = 9.695 Å, b = 9.695 Å, c = 9.695 Å
α = 42.39°, β = 42.39°, γ = 42.39°
Fractional coordinates of all 12 atoms:
Rb  0.000  0.000  0.000
V  0.500  0.500  0.500
Si  0.252  0.252  0.252
Si  0.748  0.748  0.748
Te  0.117  0.431  0.802
Te  0.198  0.883  0.569
Te  0.347  0.347  0.347
Te  0.431  0.802  0.117
Te  0.569  0.198  0.883
Te  0.653  0.653  0.653
Te  0.802  0.117  0.431
Te  0.883  0.569  0.198

# 2
A plane-wave DFT calculation with PBE-GGA was carried out for a relaxed structure of RbYSiTe4.

Computed properties:
* M_tot: 0.000 μB/atom
* formation energy without anion corrections: -811 meV/atom
* SG: No. 11
* uncorrected energy: -62.19 eV/cell
* V: 522 Å³/cell
* density: 4.5 g/cm3

a = 7.176 Å, b = 7.605 Å, c = 10.089 Å
α = 90.00°, β = 108.69°, γ = 90.00°
Fractional coordinates of all 14 atoms:
Rb  0.233  0.250  0.055
Rb  0.767  0.750  0.945
Y  0.231  0.250  0.551
Y  0.769  0.750  0.449
Si  0.217  0.750  0.333
Si  0.783  0.250  0.667
Te  0.019  0.508  0.706
Te  0.019  0.992  0.706
Te  0.415  0.750  0.169
Te  0.437  0.750  0.583
Te  0.563  0.250  0.417
Te  0.585  0.250  0.831
Te  0.981  0.008  0.294
Te  0.981  0.492  0.294

# 3
A plane-wave DFT calculation with PBE-GGA was carried out for a relaxed structure of RbYSi2Te.

Computed properties:
* M_tot: 0.000 μB/atom
* formation energy without anion corrections: 1323 meV/atom
* SG: No. 123
* uncorrected energy: -14.81 eV/cell
* V: 166 Å³/cell
* density: 3.6 g/cm3

a = 5.267 Å, b = 5.267 Å, c = 5.973 Å
α = 90.00°, β = 90.00°, γ = 90.00°
Fractional coordinates of all 5 atoms:
Rb  0.000  0.000  0.000
Y  0.500  0.500  0.500
Si  0.000  0.500  0.000
Si  0.500  0.000  0.000
Te  0.000  0.000  0.500

# 4
A plane-wave DFT calculation with PBE-GGA was carried out for a relaxed structure of RbZn2SiTe4.

Computed properties:
* M_tot: 0.000 μB/atom
* formation energy without anion corrections: -285 meV/atom
* SG: No. 42
* uncorrected energy: -23.79 eV/cell
* V: 270 Å³/cell
* density: 4.6 g/cm3

a = 7.208 Å, b = 7.133 Å, c = 7.466 Å
α = 59.12°, β = 58.15°, γ = 62.74°
Fractional coordinates of all 8 atoms:
Rb  0.000  0.000  0.000
Zn  0.253  0.253  0.247
Zn  0.753  0.753  0.747
Si  0.493  0.493  0.507
Te  0.139  0.536  0.861
Te  0.455  0.842  0.158
Te  0.536  0.139  0.464
Te  0.842  0.455  0.545

# 5
A plane-wave DFT calculation with PBE-GGA was carried out for a relaxed structure of Rb2ZnSiTe4.

Computed properties:
* M_tot: 0.000 μB/atom
* formation energy without anion corrections: -586 meV/atom
* SG: No. 70
* uncorrected energy: -51.78 eV/cell
* V: 657 Å³/cell
* density: 3.9 g/cm3

a = 15.284 Å, b = 13.742 Å, c = 8.158 Å
α = 84.42°, β = 63.49°, γ = 32.09°
Fractional coordinates of all 16 atoms:
Rb  0.060  0.060  0.690
Rb  0.310  0.310  0.940
Rb  0.690  0.690  0.060
Rb  0.940  0.940  0.310
Zn  0.125  0.125  0.125
Zn  0.875  0.875  0.875
Si  0.375  0.375  0.375
Si  0.625  0.625  0.625
Te  0.007  0.350  0.436
Te  0.293  0.564  0.650
Te  0.350  0.007  0.707
Te  0.436  0.707  0.007
Te  0.564  0.293  0.993
Te  0.650  0.993  0.293
Te  0.707  0.436  0.350
Te  0.993  0.650  0.564

# 6
A plane-wave DFT calculation with PBE-GGA was carried out for a relaxed structure of Rb2ZrSiTe.

Computed properties:
* M_tot: 0.918 μB/atom
* formation energy without anion corrections: 810 meV/atom
* SG: No. 123
* uncorrected energy: -15.00 eV/cell
* V: 288 Å³/cell
* density: 2.4 g/cm3

a = 7.265 Å, b = 7.265 Å, c = 5.451 Å
α = 90.00°, β = 90.00°, γ = 90.00°
Fractional coordinates of all 5 atoms:
Rb  0.000  0.500  0.000
Rb  0.500  0.000  0.000
Zr  0.000  0.000  0.000
Si  0.500  0.500  0.500
Te  0.000  0.000  0.500

# 7
A plane-wave DFT calculation with PBE-GGA was carried out for a relaxed structure of Rb2TiSi.

Computed properties:
* M_tot: 0.500 μB/atom
* formation energy without anion corrections: 613 meV/atom
* SG: No. 122
* uncorrected energy: -25.60 eV/cell
* V: 451 Å³/cell
* density: 1.8 g/cm3

a = 9.823 Å, b = 9.823 Å, c = 9.823 Å
α = 93.71°, β = 93.71°, γ = 150.51°
Fractional coordinates of all 8 atoms:
Rb  0.375  0.192  0.317
Rb  0.808  0.125  0.183
Rb  0.875  0.058  0.683
Rb  0.942  0.625  0.817
Ti  0.250  0.750  0.500
Ti  0.500  0.500  0.000
Si  0.000  0.000  0.000
Si  0.750  0.250  0.500

# 8
A plane-wave DFT calculation with PBE-GGA was carried out for a relaxed structure of Rb2Ti2Si.

Computed properties:
* energy above the most stable polymorph in this dataset: 19.63 kcal/mol of atoms
* M_tot: 1.101 μB/atom
* formation energy without anion corrections: 1740 meV/atom
* SG: No. 127
* uncorrected energy: -28.90 eV/cell
* V: 335 Å³/cell
* density: 2.9 g/cm3

a = 10.383 Å, b = 10.383 Å, c = 3.104 Å
α = 90.00°, β = 90.00°, γ = 90.00°
Fractional coordinates of all 10 atoms:
Rb  0.126  0.374  0.000
Rb  0.374  0.874  0.000
Rb  0.626  0.126  0.000
Rb  0.874  0.626  0.000
Ti  0.181  0.681  0.500
Ti  0.319  0.181  0.500
Ti  0.681  0.819  0.500
Ti  0.819  0.319  0.500
Si  0.000  0.000  0.000
Si  0.500  0.500  0.000

# 9
A plane-wave DFT calculation with PBE-GGA was carried out for a relaxed structure of Rb2Ti2Si.

Computed properties:
* energy above the most stable polymorph in this dataset: 0.00 kcal/mol of atoms
* M_tot: 0.127 μB/atom
* formation energy without anion corrections: 888 meV/atom
* SG: No. 139
* uncorrected energy: -18.71 eV/cell
* V: 160 Å³/cell
* density: 3.1 g/cm3

a = 12.662 Å, b = 12.662 Å, c = 12.662 Å
α = 163.70°, β = 163.70°, γ = 23.13°
Fractional coordinates of all 5 atoms:
Rb  0.103  0.103  0.000
Rb  0.897  0.897  0.000
Ti  0.250  0.750  0.500
Ti  0.750  0.250  0.500
Si  0.500  0.500  0.000

# 10
A plane-wave DFT calculation with PBE-GGA was carried out for a relaxed structure of RbTi2Si.

Computed properties:
* M_tot: 0.021 μB/atom
* formation energy without anion corrections: 864 meV/atom
* SG: No. 122
* uncorrected energy: -37.45 eV/cell
* V: 233 Å³/cell
* density: 3.0 g/cm3

a = 9.888 Å, b = 9.888 Å, c = 9.888 Å
α = 150.53°, β = 150.53°, γ = 42.16°
Fractional coordinates of all 8 atoms:
Rb  0.000  0.000  0.000
Rb  0.750  0.250  0.500
Ti  0.362  0.125  0.737
Ti  0.375  0.638  0.763
Ti  0.388  0.625  0.263
Ti  0.875  0.612  0.237
Si  0.250  0.750  0.500
Si  0.500  0.500  0.000

# 11
A plane-wave DFT calculation with PBE-GGA was carried out for a relaxed structure of RbTi3Si.

Computed properties:
* energy above the most stable polymorph in this dataset: 29.76 kcal/mol of atoms
* M_tot: 0.283 μB/atom
* formation energy without anion corrections: 2107 meV/atom
* SG: No. 221
* uncorrected energy: -19.54 eV/cell
* V: 99 Å³/cell
* density: 4.3 g/cm3

a = 4.633 Å, b = 4.633 Å, c = 4.633 Å
α = 90.00°, β = 90.00°, γ = 90.00°
Fractional coordinates of all 5 atoms:
Rb  0.000  0.000  0.000
Ti  0.000  0.000  0.500
Ti  0.000  0.500  0.000
Ti  0.500  0.000  0.000
Si  0.500  0.500  0.500

# 12
A plane-wave DFT calculation with PBE-GGA was carried out for a relaxed structure of RbTi3Si.

Computed properties:
* energy above the most stable polymorph in this dataset: 0.00 kcal/mol of atoms
* M_tot: 0.000 μB/atom
* formation energy without anion corrections: 816 meV/atom
* SG: No. 221
* uncorrected energy: -26.00 eV/cell
* V: 120 Å³/cell
* density: 3.6 g/cm3

a = 4.927 Å, b = 4.927 Å, c = 4.927 Å
α = 90.00°, β = 90.00°, γ = 90.00°
Fractional coordinates of all 5 atoms:
Rb  0.000  0.000  0.000
Ti  0.000  0.500  0.500
Ti  0.500  0.000  0.500
Ti  0.500  0.500  0.000
Si  0.500  0.500  0.500

# 13
A plane-wave DFT calculation with PBE-GGA was carried out for a relaxed structure of RbY2TiSi.

Computed properties:
* M_tot: 0.248 μB/atom
* formation energy without anion corrections: 1730 meV/atom
* SG: No. 123
* uncorrected energy: -18.56 eV/cell
* V: 134 Å³/cell
* density: 4.2 g/cm3

a = 5.350 Å, b = 5.350 Å, c = 4.674 Å
α = 90.00°, β = 90.00°, γ = 90.00°
Fractional coordinates of all 5 atoms:
Rb  0.000  0.000  0.000
Y  0.000  0.500  0.000
Y  0.500  0.000  0.000
Ti  0.000  0.000  0.500
Si  0.500  0.500  0.500

# 14
A plane-wave DFT calculation with PBE-GGA was carried out for a relaxed structure of RbTlSi.

Computed properties:
* M_tot: 0.000 μB/atom
* formation energy without anion corrections: 237 meV/atom
* SG: No. 187
* uncorrected energy: -16.09 eV/cell
* V: 200 Å³/cell
* density: 5.3 g/cm3

a = 5.371 Å, b = 5.371 Å, c = 8.011 Å
α = 90.00°, β = 90.00°, γ = 120.00°
Fractional coordinates of all 6 atoms:
Rb  0.000  0.000  0.000
Rb  0.000  0.000  0.500
Tl  0.667  0.333  0.246
Tl  0.667  0.333  0.754
Si  0.333  0.667  0.352
Si  0.333  0.667  0.648

# 15
A plane-wave DFT calculation with PBE-GGA was carried out for a relaxed structure of RbTlSi2.

Computed properties:
* energy above the most stable polymorph in this dataset: 8.00 kcal/mol of atoms
* M_tot: 0.000 μB/atom
* formation energy without anion corrections: 771 meV/atom
* SG: No. 225
* uncorrected energy: -11.10 eV/cell
* V: 105 Å³/cell
* density: 5.5 g/cm3

a = 5.297 Å, b = 5.297 Å, c = 5.297 Å
α = 60.00°, β = 60.00°, γ = 60.00°
Fractional coordinates of all 4 atoms:
Rb  0.000  0.000  0.000
Tl  0.500  0.500  0.500
Si  0.250  0.250  0.250
Si  0.750  0.750  0.750

# 16
A plane-wave DFT calculation with PBE-GGA was carried out for a relaxed structure of RbTlSi.

Computed properties:
* M_tot: 0.000 μB/atom
* formation energy without anion corrections: 77 meV/atom
* SG: No. 6
* uncorrected energy: -17.05 eV/cell
* V: 225 Å³/cell
* density: 4.7 g/cm3

a = 6.753 Å, b = 3.983 Å, c = 8.372 Å
α = 90.00°, β = 90.51°, γ = 90.00°
Fractional coordinates of all 6 atoms:
Rb  0.000  0.000  0.000
Rb  0.498  0.000  0.678
Tl  0.246  0.500  0.351
Tl  0.763  0.500  0.357
Si  0.500  0.500  0.026
Si  0.505  0.000  0.189

# 17
A plane-wave DFT calculation with PBE-GGA was carried out for a relaxed structure of Rb2TlSi.

Computed properties:
* energy above the most stable polymorph in this dataset: 4.06 kcal/mol of atoms
* M_tot: 0.004 μB/atom
* formation energy without anion corrections: 589 meV/atom
* SG: No. 122
* uncorrected energy: -14.74 eV/cell
* V: 311 Å³/cell
* density: 4.3 g/cm3

a = 12.859 Å, b = 12.859 Å, c = 12.859 Å
α = 157.49°, β = 157.49°, γ = 32.04°
Fractional coordinates of all 8 atoms:
Rb  0.120  0.625  0.995
Rb  0.375  0.370  0.495
Rb  0.630  0.125  0.005
Rb  0.875  0.880  0.505
Tl  0.250  0.750  0.500
Tl  0.500  0.500  0.000
Si  0.000  0.000  0.000
Si  0.750  0.250  0.500

# 18
A plane-wave DFT calculation with PBE-GGA was carried out for a relaxed structure of RbTl2Si.

Computed properties:
* energy above the most stable polymorph in this dataset: 1.62 kcal/mol of atoms
* M_tot: 0.000 μB/atom
* formation energy without anion corrections: 304 meV/atom
* SG: No. 225
* uncorrected energy: -9.91 eV/cell
* V: 121 Å³/cell
* density: 7.2 g/cm3

a = 5.551 Å, b = 5.551 Å, c = 5.551 Å
α = 60.00°, β = 60.00°, γ = 60.00°
Fractional coordinates of all 4 atoms:
Rb  0.000  0.000  0.000
Tl  0.250  0.250  0.250
Tl  0.750  0.750  0.750
Si  0.500  0.500  0.500

# 19
A plane-wave DFT calculation with PBE-GGA was carried out for a relaxed structure of RbTlSi.

Computed properties:
* M_tot: 0.000 μB/atom
* formation energy without anion corrections: 69 meV/atom
* SG: No. 12
* uncorrected energy: -17.10 eV/cell
* V: 196 Å³/cell
* density: 5.4 g/cm3

a = 6.431 Å, b = 6.431 Å, c = 8.634 Å
α = 123.19°, β = 123.19°, γ = 42.84°
Fractional coordinates of all 6 atoms:
Rb  0.073  0.073  0.347
Rb  0.927  0.927  0.653
Tl  0.291  0.291  0.192
Tl  0.709  0.709  0.808
Si  0.387  0.387  0.954
Si  0.613  0.613  0.046

# 20
A plane-wave DFT calculation with PBE-GGA was carried out for a relaxed structure of Rb2TlSi2.

Computed properties:
* M_tot: 0.000 μB/atom
* formation energy without anion corrections: 230 meV/atom
* SG: No. 127
* uncorrected energy: -28.00 eV/cell
* V: 367 Å³/cell
* density: 3.9 g/cm3

a = 8.244 Å, b = 8.244 Å, c = 5.395 Å
α = 90.00°, β = 90.00°, γ = 90.00°
Fractional coordinates of all 10 atoms:
Rb  0.197  0.303  0.000
Rb  0.303  0.803  0.000
Rb  0.697  0.197  0.000
Rb  0.803  0.697  0.000
Tl  0.000  0.000  0.500
Tl  0.500  0.500  0.500
Si  0.094  0.594  0.500
Si  0.406  0.094  0.500
Si  0.594  0.906  0.500
Si  0.906  0.406  0.500

# 21
A plane-wave DFT calculation with PBE-GGA was carried out for a relaxed structure of RbTlSi.

Computed properties:
* M_tot: 0.000 μB/atom
* formation energy without anion corrections: 42 meV/atom
* SG: No. 8
* uncorrected energy: -17.26 eV/cell
* V: 213 Å³/cell
* density: 5.0 g/cm3

a = 8.069 Å, b = 8.069 Å, c = 8.010 Å
α = 119.00°, β = 119.00°, γ = 28.11°
Fractional coordinates of all 6 atoms:
Rb  0.000  0.000  0.000
Rb  0.667  0.667  0.646
Tl  0.360  0.360  0.550
Tl  0.727  0.727  0.163
Si  0.379  0.379  0.186
Si  0.947  0.947  0.396

# 22
A plane-wave DFT calculation with PBE-GGA was carried out for a relaxed structure of RbTlSi.

Computed properties:
* M_tot: 0.000 μB/atom
* formation energy without anion corrections: 127 meV/atom
* SG: No. 156
* uncorrected energy: -8.38 eV/cell
* V: 107 Å³/cell
* density: 5.0 g/cm3

a = 4.601 Å, b = 4.601 Å, c = 5.814 Å
α = 90.00°, β = 90.00°, γ = 120.00°
Fractional coordinates of all 3 atoms:
Rb  0.000  0.000  0.000
Tl  0.667  0.333  0.507
Si  0.333  0.667  0.487

# 23
A plane-wave DFT calculation with PBE-GGA was carried out for a relaxed structure of RbTlSi.

Computed properties:
* M_tot: 0.000 μB/atom
* formation energy without anion corrections: 43 meV/atom
* SG: No. 2
* uncorrected energy: -17.26 eV/cell
* V: 206 Å³/cell
* density: 5.1 g/cm3

a = 3.795 Å, b = 7.224 Å, c = 8.319 Å
α = 69.70°, β = 76.90°, γ = 76.97°
Fractional coordinates of all 6 atoms:
Rb  0.030  0.127  0.259
Rb  0.970  0.873  0.741
Tl  0.357  0.640  0.175
Tl  0.643  0.360  0.825
Si  0.293  0.383  0.515
Si  0.707  0.617  0.485

# 24
A plane-wave DFT calculation with PBE-GGA was carried out for a relaxed structure of RbTlSi.

Computed properties:
* M_tot: 0.000 μB/atom
* formation energy without anion corrections: 67 meV/atom
* SG: No. 62
* uncorrected energy: -34.23 eV/cell
* V: 447 Å³/cell
* density: 4.7 g/cm3

a = 12.275 Å, b = 3.856 Å, c = 9.442 Å
α = 90.00°, β = 90.00°, γ = 90.00°
Fractional coordinates of all 12 atoms:
Rb  0.215  0.250  0.084
Rb  0.285  0.750  0.584
Rb  0.715  0.250  0.416
Rb  0.785  0.750  0.916
Tl  0.033  0.250  0.757
Tl  0.467  0.750  0.257
Tl  0.533  0.250  0.743
Tl  0.967  0.750  0.243
Si  0.059  0.250  0.465
Si  0.441  0.750  0.965
Si  0.559  0.250  0.035
Si  0.941  0.750  0.535

# 25
A plane-wave DFT calculation with PBE-GGA was carried out for a relaxed structure of Rb2Tl2Si.

Computed properties:
* M_tot: 0.000 μB/atom
* formation energy without anion corrections: 181 meV/atom
* SG: No. 127
* uncorrected energy: -22.37 eV/cell
* V: 369 Å³/cell
* density: 5.5 g/cm3

a = 7.765 Å, b = 7.765 Å, c = 6.125 Å
α = 90.00°, β = 90.00°, γ = 90.00°
Fractional coordinates of all 10 atoms:
Rb  0.181  0.319  0.000
Rb  0.319  0.819  0.000
Rb  0.681  0.181  0.000
Rb  0.819  0.681  0.000
Tl  0.145  0.645  0.500
Tl  0.355  0.145  0.500
Tl  0.645  0.855  0.500
Tl  0.855  0.355  0.500
Si  0.000  0.000  0.500
Si  0.500  0.500  0.500